Model a:
DFT (PBE) results for Pr6Tl3Ag after structural relaxation.

The crystal system is monoclinic.

Unit cell a=9.6789 b=5.4830 c=12.1124 alpha=90.00 beta=107.50 gamma=90.00
Last column: nearest neighbours and their distance in Å.
Space group P2_1/m (No. 11)
One atom of each set of equivalent atoms:
Pr1 0.0348 0.2500 0.4093  7 Tl 3.30-3.63, 1 Pr 3.52
Pr2 0.1667 0.7500 0.1771  1 Ag 3.22, 5 Tl 3.31-3.44
Pr3 0.2594 0.2500 0.0012  4 Tl 3.28-3.53, 3 Ag 3.32-3.36
Pr4 0.3507 0.7500 0.8145  3 Ag 3.29-3.31, 3 Tl 3.43-3.48
Pr5 0.3676 0.2500 0.3471  6 Pr 3.26-3.62, 3 Tl 3.42-3.52
Pr6 0.4091 0.2500 0.6246  1 Ag 3.18, 3 Pr 3.26-3.44, 3 Tl 3.27-3.34
Tl1 0.0329 0.7500 0.8842  8 Pr 3.31-3.53, 2 Tl 3.67
Tl2 0.1256 0.2500 0.7182  8 Pr 3.27-3.58
Tl3 0.2704 0.7500 0.4747  10 Pr 3.34-3.65
Ag1 0.4584 0.7500 0.1008  8 Pr 3.18-3.36


Model b:
DFT (PBE) results for Pr6Tl3Ag after structural relaxation.

The crystal system is orthorhombic.

Unit cell a=9.5376 b=12.3506 c=5.4613 alpha=90.00 beta=90.00 gamma=90.00
Last column: nearest neighbours and their distance in Å.
Space group Pnnm (No. 58)
One atom of each set of equivalent atoms:
Pr1 0.0032 0.2451 0.0000  1 Ag 3.03, 4 Tl 3.15-3.17
Pr2 0.1652 0.0859 0.5000  2 Ag 3.33, 1 Tl 3.36, 2 Pr 3.70
Pr3 0.1712 0.4174 0.5000  1 Ag 3.30, 2 Tl 3.34
Tl1 0.0000 0.5000 0.0000  8 Pr 3.15-3.36
Tl2 0.1648 0.7487 0.5000  3 Pr 3.17
Ag1 0.0000 0.0000 0.0000  8 Pr 3.03-3.33


Structures ranked by computed energy, the most stable listed first: model a, model b.


Model a:
DFT (PBE) results for Pr2TmAg after structural relaxation.

The crystal system is trigonal.

Unit cell a=3.6550 b=3.6550 c=32.0091 alpha=90.00 beta=90.00 gamma=120.00
Last column: nearest neighbours and their distance in Å.
Space group R3m (No. 160, hexagonal axes)
One atom of each set of equivalent atoms:
Pr1 0.0000 0.0000 0.0000  3 Ag 3.22, 3 Tm 3.56
Pr2 0.0000 0.0000 0.1796  3 Ag 3.26, 3 Tm 3.58
Tm1 0.0000 0.0000 0.4227  6 Pr 3.56-3.58, 6 Tm 3.66
Ag1 0.0000 0.0000 0.5905  6 Pr 3.22-3.26


Model b:
DFT (PBE) results for Pr2TmAg after structural relaxation.

The crystal system is trigonal.

Unit cell a=3.6412 b=3.6412 c=32.1618 alpha=90.00 beta=90.00 gamma=120.00
Last column: nearest neighbours and their distance in Å.
Space group R-3m (No. 166, hexagonal axes)
One atom of each set of equivalent atoms:
Pr1 0.0000 0.0000 0.2430  3 Ag 3.23, 3 Tm 3.59
Tm1 0.0000 0.0000 0.0000  6 Pr 3.59, 6 Tm 3.64
Ag1 0.0000 0.0000 0.5000  6 Pr 3.23


Model c:
DFT (PBE) results for Pr2TmAg after structural relaxation.

The crystal system is tetragonal.

Unit cell a=3.7396 b=3.7396 c=8.6939 alpha=90.00 beta=90.00 gamma=90.00
Last column: nearest neighbours and their distance in Å.
Space group P4/mmm (No. 123)
One atom of each set of equivalent atoms:
Pr1 0.0000 0.0000 0.2219  4 Ag 3.27, 4 Tm 3.58
Tm1 0.5000 0.5000 0.5000  8 Pr 3.58, 4 Tm 3.74
Ag1 0.5000 0.5000 0.0000  8 Pr 3.27


Model d:
DFT (PBE) results for Pr2TmAg after structural relaxation.

The crystal system is cubic.

Unit cell a=7.7829 b=7.7829 c=7.7829 alpha=90.00 beta=90.00 gamma=90.00
Last column: nearest neighbours and their distance in Å.
Space group Fm-3m (No. 225)
One atom of each set of equivalent atoms:
Pr1 0.2500 0.2500 0.2500  4 Tm 3.37, 4 Ag 3.37
Tm1 0.0000 0.0000 0.0000  8 Pr 3.37
Ag1 0.0000 0.0000 0.5000  8 Pr 3.37


Structures ranked by computed energy, the most stable listed first: model c, model b, model a, model d.